(1)
Computed, not measured: a geometry-optimized AcP3N6 structure at the PBE-GGA level of DFT.

Cell: 7.373 7.373 7.373 Å, 123.48 99.51 106.45°
Fractional coordinates of all 20 atoms:
Ac1 0.250 0.250 0.000
Ac2 0.750 0.750 0.000
P1 0.183 0.610 0.792
P2 0.250 0.750 0.500
P3 0.317 0.110 0.427
P4 0.683 0.890 0.573
P5 0.750 0.250 0.500
P6 0.817 0.390 0.208
N1 0.057 0.501 0.257
N2 0.163 0.050 0.213
N3 0.244 0.800 0.743
N4 0.256 0.999 0.557
N5 0.337 0.550 0.888
N6 0.443 0.700 0.443
N7 0.557 0.300 0.557
N8 0.663 0.450 0.112
N9 0.744 0.001 0.443
N10 0.756 0.200 0.257
N11 0.837 0.950 0.787
N12 0.943 0.499 0.743

Properties
As for the formation energy from raw total energies: -54.14 kJ per mole of atoms. Its crystal system is orthorhombic.

(2)
Computed, not measured: a geometry-optimized CeHoCo10 structure at the PBE-GGA level of DFT.

Cell: 3.976 4.887 8.494 Å, 90.00 90.00 90.00°
Fractional coordinates of all 12 atoms:
Ce1 0.000 0.000 0.000
Ho1 0.000 0.500 0.500
Co1 0.000 0.000 0.318
Co2 0.000 0.000 0.682
Co3 0.000 0.500 0.163
Co4 0.000 0.500 0.837
Co5 0.500 0.000 0.500
Co6 0.500 0.258 0.257
Co7 0.500 0.258 0.743
Co8 0.500 0.500 0.000
Co9 0.500 0.742 0.257
Co10 0.500 0.742 0.743

Properties
The value obtained for the formation energy is -0.1186 eV per atom. Its crystal system is orthorhombic.

Asked for magnetization across the records above, the calculation gives 0.00, 12.87 μB per cell in order.